Record 1
# OsCl3O SCAN PBEsol geometry
# Electronic total energy (eV per atom): -19.7551
# Theoretical density (kg/m³): 5173
data_OsCl3O
_chemical_formula_sum 'Os1 Cl3 O1'
_cell_length_a 4.647
_cell_length_b 4.647
_cell_length_c 4.647
_cell_angle_alpha 90.00
_cell_angle_beta 90.00
_cell_angle_gamma 90.00
_space_group_name_H-M_alt 'P m -3 m'
_space_group_IT_number 221
_space_group_name_Hall '-P 4 2 3'
loop_
_atom_site_label
_atom_site_fract_x
_atom_site_fract_y
_atom_site_fract_z
_atom_site_occupancy
Os1 0.000 0.000 0.000 1
Cl1 0.000 0.000 0.500 1
O1 0.500 0.500 0.500 1

=====

Record 2
# OsCl2O SCAN PBEsol geometry
# Energy relative to the lowest polymorph listed for this composition (meV per atom): 0
# Theoretical density (kg/m³): 6066
data_OsCl2O
_chemical_formula_sum 'Os2 Cl4 O2'
_cell_length_a 3.589
_cell_length_b 3.702
_cell_length_c 11.422
_cell_angle_alpha 90.00
_cell_angle_beta 90.00
_cell_angle_gamma 90.00
_space_group_name_H-M_alt 'I m m m'
_space_group_IT_number 71
_space_group_name_Hall '-I 2 2'
loop_
_atom_site_label
_atom_site_fract_x
_atom_site_fract_y
_atom_site_fract_z
_atom_site_occupancy
Os1 0.000 0.000 0.000 1
Cl1 0.000 0.500 0.364 1
O1 0.000 0.500 0.000 1

=====

Record 3
# POsCl2O SCAN PBEsol geometry
# Electronic total energy (eV per atom): -19.2629
# Theoretical density (kg/m³): 7165
data_POsCl2O
_chemical_formula_sum 'P1 Os1 Cl2 O1'
_cell_length_a 4.310
_cell_length_b 4.310
_cell_length_c 3.844
_cell_angle_alpha 90.00
_cell_angle_beta 90.00
_cell_angle_gamma 90.00
_space_group_name_H-M_alt 'P 4/m m m'
_space_group_IT_number 123
_space_group_name_Hall '-P 4 2'
loop_
_atom_site_label
_atom_site_fract_x
_atom_site_fract_y
_atom_site_fract_z
_atom_site_occupancy
P1 0.000 0.000 0.000 1
Os1 0.500 0.500 0.000 1
Cl1 0.000 0.500 0.500 1
O1 0.000 0.000 0.500 1